(1)
This record from Alexandria via LeMat-Bulk describes a relaxed Ba3TlPt3 crystal. The functional is PBE.

```
Ba3TlPt3
1.0
4.5419 0.0000 0.6842
2.2414 6.1786 0.5385
0.0514 0.0033 15.0770
Pt Ba Tl
6 6 2
Direct
0.9622 0.8458 0.2299
0.8940 0.1357 0.0764
0.1162 0.3038 0.4638
0.1060 0.8643 0.9236
0.8838 0.6962 0.5362
0.0378 0.1542 0.7701
0.7331 0.7570 0.7767
0.3952 0.2835 0.9260
0.4868 0.6532 0.3732
0.2669 0.2430 0.2233
0.5132 0.3468 0.6268
0.6048 0.7165 0.0740
0.2367 0.9348 0.5918
0.7633 0.0652 0.4082
```

Properties
The calculation puts the formation energy at -0.644 eV/atom. The calculation puts the total energy at -61.533 eV for the cell shown. The symmetry is No. 12.

(2)
This record from Alexandria via LeMat-Bulk describes a relaxed Er2HfSc crystal. The functional is PBE.

```
Er2HfSc
1.0
4.6766 0.0000 0.0000
0.0000 4.7382 0.0000
0.0000 0.0000 4.7382
Sc Hf Er
1 1 2
Direct
0.5000 0.0000 0.0000
0.5000 0.5000 0.5000
0.0000 0.5000 0.0000
0.0000 0.0000 0.5000
```

Properties
The calculation puts the formation energy at 0.121 eV/atom. The calculation puts the total energy at -24.928 eV for the cell shown. As for the offset from the most stable computed form: 29 meV/atom. The symmetry is No. 123.

(3)
This record from Alexandria via LeMat-Bulk describes a relaxed Cd2CoNi crystal. The functional is PBE.

```
Cd2CoNi
1.0
-1.1148 2.9586 4.1152
-1.1856 0.3044 5.0431
3.9780 0.7431 2.4290
Cd Co Ni
2 1 1
Direct
0.7690 0.7690 0.6926
0.9807 0.9807 0.0574
0.5275 0.5275 0.5266
0.2227 0.2227 0.2234
```

Properties
The calculation puts the formation energy at 0.211 eV/atom. The calculation puts the total energy at -13.875 eV for the cell shown. As for the offset from the most stable computed form: 54 meV/atom. The symmetry is No. 8.

(4)
This record from Alexandria via LeMat-Bulk describes a relaxed TbY2Br crystal. The functional is PBE.

```
TbY2Br
1.0
3.5079 0.0000 0.0000
1.7540 3.0380 0.0000
1.7540 1.0127 11.4499
Y Br Tb
2 1 1
Direct
0.9017 0.9017 0.2949
0.0983 0.0983 0.7051
0.5000 0.5000 0.5000
0.0000 0.0000 0.0000
```

Properties
The value obtained for the formation energy from raw total energies is -0.9 eV/f.u. The calculation puts the total energy at -20.141 eV for the cell shown. The symmetry is No. 166.

(5)
This record from Alexandria via LeMat-Bulk describes a relaxed Ba2Ta3TiO12 crystal. The functional is PBE.

```
Ba2Ta3TiO12
1.0
7.3553 -0.0317 -0.0225
3.6048 6.4114 -0.0225
3.6048 2.0983 6.0583
O Ti Ba Ta
12 1 2 3
Direct
0.9321 0.9321 0.3146
0.3146 0.9321 0.9321
0.0679 0.6854 0.0679
0.6854 0.0679 0.0679
0.9462 0.3179 0.3179
0.3179 0.3179 0.9462
0.0679 0.0679 0.6854
0.9321 0.3146 0.9321
0.3179 0.9462 0.3179
0.6821 0.6821 0.0538
0.6821 0.0538 0.6821
0.0538 0.6821 0.6821
0.0000 0.0000 0.0000
0.3283 0.3283 0.3283
0.6717 0.6717 0.6717
0.0000 0.0000 0.5000
0.0000 0.5000 0.0000
0.5000 0.0000 0.0000
```

Properties
The value obtained for the formation energy from raw total energies is -50.3 eV/f.u. The calculation puts the total energy at -157.066 eV for the cell shown. The symmetry is No. 166.

(6)
This record from Alexandria via LeMat-Bulk describes a relaxed ZrRe2H crystal. The functional is PBE.

```
ZrRe2H
1.0
5.4888 0.0000 0.0000
0.0000 5.4888 0.0000
2.7444 2.7444 3.8707
H Re Zr
2 4 2
Direct
0.2500 0.7500 0.5000
0.5000 0.5000 0.0000
0.8750 0.6250 0.7500
0.3750 0.1250 0.2500
0.3750 0.6250 0.7500
0.3750 0.6250 0.2500
0.7500 0.2500 0.5000
0.0000 0.0000 0.0000
```

Properties
The calculation puts the total energy at -72.167 eV for the cell shown. As for the offset from the most stable computed form: 0 meV/atom. The symmetry is No. 141.

(7)
This record from Alexandria via LeMat-Bulk describes a relaxed YSe3 crystal. The functional is PBE.

```
YSe3
1.0
3.9583 0.0000 0.0000
0.0000 6.0111 0.0000
0.0000 0.0000 4.0206
Se Y
3 1
Direct
0.0000 0.0000 0.9915
0.5000 0.0000 0.4695
0.5000 0.5000 0.8635
0.0000 0.5000 0.3421
```

Properties
The value obtained for the formation energy from raw total energies is -3.5 eV/f.u. The calculation puts the total energy at -20.397 eV for the cell shown. The symmetry is No. 25.

(8)
This record from Alexandria via LeMat-Bulk describes a relaxed YTm4Pd2 crystal. The functional is PBE.

```
YTm4Pd2
1.0
3.8416 0.0000 0.0000
1.9208 3.3269 0.0000
1.9208 1.1090 15.3059
Pd Tm Y
2 4 1
Direct
0.4015 0.4015 0.7956
0.5985 0.5985 0.2044
0.6977 0.6977 0.9068
0.3023 0.3023 0.0932
0.1051 0.1051 0.6847
0.8949 0.8949 0.3153
0.5000 0.5000 0.5000
```

Properties
The calculation puts the formation energy at -0.382 eV/atom. The calculation puts the total energy at -37.409 eV for the cell shown. As for the offset from the most stable computed form: 86 meV/atom. The symmetry is No. 166.